## Nb2V3Tc (PBE-GGA)

Data for an optimized crystal structure of Nb2V3Tc.

extended XYZ file:
```
6
Lattice="-4.524 0.685 -2.306 3.315 -3.454 -1.825 0.250 -2.180 4.559" Properties=species:S:1:pos:R:3 pbc="T T T"
V 0.125 -1.090 2.279
V -0.479 -2.475 0.214
V -2.137 -0.748 1.126
Nb 1.161 -3.896 2.272
Nb -2.120 -1.053 -1.844
Tc 0.000 0.000 0.000
```

Energy relative to the elements: -208 meV/atom